## V2GaSbO6 (PBE with a Hubbard U)

Data for crystalline V2GaSbO6 at its relaxed geometry.

a = 5.280 Å, b = 5.337 Å, c = 5.547 Å
α = 117.48°, β = 90.30°, γ = 118.78°
Element x y z (fractional)
V 0.000 0.000 0.000
V 0.496 0.996 0.481
Ga 0.703 0.408 0.103
Sb 0.231 0.450 0.643
O 0.088 0.859 0.265
O 0.286 0.939 0.787
O 0.401 0.496 0.279
O 0.637 0.505 0.791
O 0.757 0.165 0.265
O 0.842 0.142 0.791

Results
- SG: P1 (1)
- Magnetic moment: 4.0 μB per formula unit
- V: 11.62 A^3/atom
- E_tot: -6.871 eV/atom